[1]
VASP calculation (PBE) on a relaxed structure of CeY2F11.

## Properties
M_tot ... 1.10 μB/f.u.
Formation energy (no corrections) ... -3.6350 eV per atom
Space group ... No. 72

POSCAR file:
```
CeY2F11
1.0
-4.179 5.136 5.586
4.179 -5.136 5.586
4.179 5.136 -5.586
Ce Y F
2 4 22
direct
0.250 0.250 0.000
0.750 0.750 0.000
0.191 0.661 0.851
0.309 0.161 0.470
0.691 0.839 0.530
0.809 0.339 0.149
0.000 0.500 0.500
0.027 0.957 0.269
0.057 0.341 0.129
0.188 0.457 0.930
0.191 0.391 0.582
0.212 0.929 0.871
0.288 0.159 0.716
0.309 0.891 0.200
0.312 0.242 0.269
0.443 0.571 0.284
0.473 0.742 0.930
0.500 0.000 0.500
0.527 0.258 0.070
0.557 0.429 0.716
0.688 0.758 0.731
0.691 0.109 0.800
0.712 0.841 0.284
0.788 0.071 0.129
0.809 0.609 0.418
0.812 0.543 0.070
0.943 0.659 0.871
0.973 0.043 0.731
```

[2]
VASP calculation (PBE) on a relaxed structure of Ce2YF8.

## Properties
M_tot ... 3.00 μB/f.u.
Fermi-level density of states ... 1.29 states/eV per atom
Relative energy among the computed polymorphs ... 2.4 kJ/mol of atoms
Formation energy (no corrections) ... -3.8248 eV per atom
Space group ... No. 12

POSCAR file:
```
Ce2YF8
1.0
6.376 -2.045 0.000
6.376 2.045 0.000
-3.357 0.000 6.521
Ce Y F
2 1 8
direct
0.186 0.186 0.190
0.814 0.814 0.810
0.000 0.000 0.500
0.016 0.016 0.824
0.186 0.186 0.528
0.287 0.287 0.937
0.401 0.401 0.359
0.599 0.599 0.641
0.713 0.713 0.063
0.814 0.814 0.472
0.984 0.984 0.176
```

[3]
VASP calculation (PBE) on a relaxed structure of Ce2ZnF11.

## Properties
M_tot ... 1.08 μB/f.u.
Fermi-level density of states ... 0.19 states/eV per atom
Formation energy (no corrections) ... -3.0962 eV per atom
Space group ... No. 2

POSCAR file:
```
Ce2ZnF11
1.0
8.177 0.000 0.000
-3.408 7.440 0.000
-2.484 -3.617 7.420
Ce Zn F
4 2 22
direct
0.082 0.319 0.200
0.381 0.122 0.702
0.619 0.878 0.298
0.918 0.681 0.800
0.364 0.615 0.750
0.636 0.385 0.250
0.000 0.000 0.000
0.073 0.716 0.050
0.085 0.550 0.710
0.135 0.925 0.755
0.168 0.028 0.450
0.274 0.442 0.491
0.330 0.618 0.253
0.338 0.273 0.181
0.338 0.375 0.792
0.406 0.845 0.676
0.450 0.784 0.009
0.500 0.000 0.500
0.550 0.216 0.991
0.594 0.155 0.324
0.662 0.625 0.208
0.662 0.727 0.819
0.670 0.382 0.747
0.726 0.558 0.509
0.832 0.972 0.550
0.865 0.075 0.245
0.915 0.450 0.290
0.927 0.284 0.950
```

[4]
VASP calculation (PBE) on a relaxed structure of CeZnF5.

## Properties
M_tot ... 1.00 μB/f.u.
Fermi-level density of states ... 0.46 states/eV per atom
Formation energy (no corrections) ... -3.2449 eV per atom
Space group ... No. 15

POSCAR file:
```
CeZnF5
1.0
4.678 -3.424 0.000
4.678 3.424 0.000
-3.379 0.000 7.193
Ce Zn F
2 2 10
direct
0.052 0.948 0.750
0.948 0.052 0.250
0.500 0.500 0.000
0.500 0.500 0.500
0.183 0.797 0.032
0.203 0.817 0.468
0.242 0.288 0.379
0.288 0.242 0.879
0.406 0.594 0.750
0.594 0.406 0.250
0.712 0.758 0.121
0.758 0.712 0.621
0.797 0.183 0.532
0.817 0.203 0.968
```

[5]
VASP calculation (PBE) on a relaxed structure of Ce2ZnF8.

## Properties
M_tot ... 2.00 μB/f.u.
Fermi-level density of states ... 1.25 states/eV per atom
Relative energy among the computed polymorphs ... 8.7 kJ/mol of atoms
Formation energy (no corrections) ... -3.4183 eV per atom
Space group ... No. 12

POSCAR file:
```
Ce2ZnF8
1.0
7.851 -1.835 0.000
7.851 1.835 0.000
-0.569 0.000 5.539
Ce Zn F
2 1 8
direct
0.151 0.151 0.149
0.849 0.849 0.851
0.500 0.500 0.500
0.011 0.011 0.279
0.241 0.241 0.811
0.376 0.376 0.566
0.399 0.399 0.073
0.601 0.601 0.927
0.624 0.624 0.434
0.759 0.759 0.189
0.989 0.989 0.721
```

[6]
VASP calculation (PBE) on a relaxed structure of Ce2ZnF8.

## Properties
M_tot ... 2.00 μB/f.u.
Fermi-level density of states ... 1.00 states/eV per atom
Relative energy among the computed polymorphs ... 0.0 kJ/mol of atoms
Formation energy (no corrections) ... -3.5089 eV per atom
Space group ... No. 12

POSCAR file:
```
Ce2ZnF8
1.0
4.998 -3.737 0.000
4.998 3.737 0.000
-1.524 0.000 4.499
Ce Zn F
2 1 8
direct
0.176 0.176 0.372
0.824 0.824 0.628
0.500 0.500 0.000
0.081 0.081 0.800
0.169 0.548 0.728
0.368 0.368 0.226
0.452 0.831 0.272
0.548 0.169 0.728
0.632 0.632 0.774
0.831 0.452 0.272
0.919 0.919 0.200
```